Record 1
# PBE-GGA GaOsN3, optimized geometry
data_GaOsN3
_space_group_name_H-M_alt 'P 1'
_space_group_IT_number 1
_space_group_name_Hall 'P 1'
_cell_length_a 3.8817
_cell_length_b 3.8817
_cell_length_c 3.8817
_cell_angle_alpha 90.00
_cell_angle_beta 90.00
_cell_angle_gamma 90.00
loop_
_atom_site_label
_atom_site_type_symbol
_atom_site_fract_x
_atom_site_fract_y
_atom_site_fract_z
Os1 Os 0.0000 0.0000 0.0000
Ga1 Ga 0.5000 0.5000 0.5000
N1 N 0.0000 0.5000 0.0000
N2 N 0.0000 0.0000 0.5000
N3 N 0.5000 0.0000 0.0000
# Total magnetic moment, μB per atom: 0.000
# Space group: No. 221

---

Record 2
# PBE-GGA GaOs2N, optimized geometry
data_GaOs2N
_space_group_name_H-M_alt 'P 1'
_space_group_IT_number 1
_space_group_name_Hall 'P 1'
_cell_length_a 5.3461
_cell_length_b 5.3461
_cell_length_c 5.8414
_cell_angle_alpha 62.77
_cell_angle_beta 62.77
_cell_angle_gamma 90.00
loop_
_atom_site_label
_atom_site_type_symbol
_atom_site_fract_x
_atom_site_fract_y
_atom_site_fract_z
Os1 Os 0.5287 0.1250 0.2500
Os2 Os 0.2213 0.6250 0.2500
Os3 Os 0.3750 0.4713 0.7500
Os4 Os 0.8750 0.7787 0.7500
Ga1 Ga 0.0000 0.0000 0.0000
Ga2 Ga 0.7500 0.2500 0.5000
N1 N 0.5000 0.5000 0.0000
N2 N 0.2500 0.7500 0.5000
# Energy relative to the lowest polymorph listed for this composition, eV per formula unit: 0.000
# Total magnetic moment, μB per atom: 0.000
# Space group: No. 122

---

In eV/atom, the uncorrected formation energy values for the records above are, in order, 0.97; 0.76.